PIrC: optimized geometry, PBE-GGA.

Cell lengths 2.823, 2.823, 15.648 Å; angles 90.00, 90.00, 120.00 degrees
Element x y z (fractional)
1 C 0.333 0.667 0.315
2 P 0.667 0.333 0.698
3 P 0.333 0.667 0.032
4 Ir 0.000 0.000 0.512
5 C 0.667 0.333 0.982
6 Ir 0.333 0.667 0.179
7 Ir 0.667 0.333 0.846
8 C 0.000 0.000 0.648
9 P 0.000 0.000 0.365

Summary:
Formation enthalpy at 0 K (eV per atom): 0.20
Polymorph energy (0 for the lowest one) (eV per atom): 0.026
Magnetic moment (μB per atom): 0.000